[1]
Na3Pm2PuO6: optimized geometry, PBE.

Output
ΔE_f (raw)   -2.5457 eV per atom

Geometry as POSCAR:
```
Na3Pm2PuO6
1.0
3.070 -5.319 0.000
3.070 5.319 0.000
-2.046 0.000 5.630
Na Pm Pu O
3 2 1 6
Direct
0.000 0.000 0.000
0.335 0.665 0.000
0.665 0.335 0.000
0.167 0.833 0.500
0.833 0.167 0.500
0.500 0.500 0.500
0.098 0.428 0.284
0.242 0.242 0.716
0.428 0.098 0.284
0.572 0.902 0.716
0.758 0.758 0.284
0.902 0.572 0.716
```

[2]
LiTcRu2: optimized geometry, PBE.

Output
Formation energy from the elements   0.22 eV per atom
Distance to the lowest polymorph of the same formula   0.1204 eV/atom

Geometry as POSCAR:
```
LiTcRu2
1.0
9.022 0.000 0.000
0.000 2.672 0.000
-0.654 0.000 4.583
Li Tc Ru
2 2 4
Direct
0.000 0.000 0.000
0.500 0.500 0.000
0.264 0.500 0.268
0.764 0.000 0.268
0.008 0.500 0.503
0.241 0.000 0.768
0.508 0.000 0.503
0.741 0.500 0.768
```

[3]
Sb2RuPt: optimized geometry, PBE.

Output
Distance to the lowest polymorph of the same formula   0.6077 eV/atom
ΔE_f (raw)   0.4695 eV per atom

Geometry as POSCAR:
```
Sb2RuPt
1.0
6.777 0.000 0.000
0.000 6.777 0.000
0.000 0.000 6.777
Sb Ru Pt
8 4 4
Direct
0.000 0.000 0.000
0.000 0.500 0.500
0.250 0.250 0.250
0.250 0.750 0.750
0.500 0.000 0.500
0.500 0.500 0.000
0.750 0.250 0.750
0.750 0.750 0.250
0.250 0.250 0.750
0.250 0.750 0.250
0.750 0.250 0.250
0.750 0.750 0.750
0.000 0.000 0.500
0.000 0.500 0.000
0.500 0.000 0.000
0.500 0.500 0.500
```

[4]
Cd2SbAs: optimized geometry, PBE.

Output
Distance to the lowest polymorph of the same formula   0.1914 eV/atom
ΔE_f (raw)   0.2259 eV per atom

Geometry as POSCAR:
```
Cd2SbAs
1.0
3.725 0.000 0.000
0.000 5.234 0.000
0.000 0.000 9.685
Cd Sb As
4 2 2
Direct
0.000 0.000 0.000
0.000 0.500 0.247
0.500 0.000 0.247
0.500 0.500 0.000
0.000 0.000 0.519
0.500 0.500 0.519
0.000 0.500 0.768
0.500 0.000 0.768
```

[5]
Ta2AlAs: optimized geometry, PBE.

Output
Formation energy from the elements   0.03 eV per atom
Distance to the lowest polymorph of the same formula   0.2427 eV/atom

Geometry as POSCAR:
```
Ta2AlAs
1.0
3.003 0.000 0.000
-1.501 2.600 0.000
0.000 0.000 27.313
Ta Al As
6 3 3
Direct
0.000 0.000 0.000
0.000 0.000 0.242
0.333 0.667 0.667
0.333 0.667 0.909
0.667 0.333 0.333
0.667 0.333 0.576
0.000 0.000 0.747
0.333 0.667 0.413
0.667 0.333 0.080
0.000 0.000 0.497
0.333 0.667 0.164
0.667 0.333 0.831
```

[6]
La4Cd2InAg: optimized geometry, PBE.

Output
Formation energy from the elements   -0.35 eV per atom

Geometry as POSCAR:
```
La4Cd2InAg
1.0
2.766 1.597 9.039
-2.766 1.597 9.039
0.000 -3.193 9.039
La Cd In Ag
4 2 1 1
Direct
0.122 0.122 0.122
0.372 0.372 0.372
0.628 0.628 0.628
0.878 0.878 0.878
0.247 0.247 0.247
0.753 0.753 0.753
0.500 0.500 0.500
0.000 0.000 0.000
```

[7]
TbPm2Cu2Si2: optimized geometry, PBE.

Output
ΔE_f (raw)   -0.4960 eV per atom

Geometry as POSCAR:
```
TbPm2Cu2Si2
1.0
2.056 1.187 10.924
-2.056 1.187 10.924
0.000 -2.374 10.924
Tb Pm Cu Si
1 2 2 2
Direct
0.000 0.000 0.000
0.119 0.119 0.119
0.881 0.881 0.881
0.392 0.392 0.392
0.608 0.608 0.608
0.274 0.274 0.274
0.726 0.726 0.726
```

[8]
Nb3Ga4: optimized geometry, PBE.

Output
Formation energy from the elements   -0.07 eV per atom

Geometry as POSCAR:
```
Nb3Ga4
1.0
3.382 0.000 0.000
0.000 3.382 0.000
0.000 0.000 21.099
Nb Ga
6 8
Direct
0.000 0.000 0.000
0.000 0.000 0.282
0.000 0.000 0.718
0.500 0.500 0.218
0.500 0.500 0.500
0.500 0.500 0.782
0.000 0.000 0.144
0.000 0.000 0.421
0.000 0.000 0.579
0.000 0.000 0.856
0.500 0.500 0.079
0.500 0.500 0.356
0.500 0.500 0.644
0.500 0.500 0.921
```

[9]
BeCo2Tc: optimized geometry, PBE.

Output
Formation energy from the elements   0.09 eV per atom
Distance to the lowest polymorph of the same formula   0.2574 eV/atom

Geometry as POSCAR:
```
BeCo2Tc
1.0
2.586 0.000 0.000
-1.293 2.239 0.000
0.000 0.000 23.198
Be Co Tc
3 6 3
Direct
0.000 0.000 0.000
0.333 0.667 0.667
0.667 0.333 0.333
0.000 0.000 0.257
0.000 0.000 0.743
0.333 0.667 0.409
0.333 0.667 0.924
0.667 0.333 0.076
0.667 0.333 0.591
0.000 0.000 0.500
0.333 0.667 0.167
0.667 0.333 0.833
```

[10]
AlV2Cr2: optimized geometry, PBE.

Output
Formation energy from the elements   -0.14 eV per atom
Distance to the lowest polymorph of the same formula   0.0000 eV/atom

Geometry as POSCAR:
```
AlV2Cr2
1.0
4.191 0.000 0.000
-2.095 3.629 0.000
0.000 0.000 12.773
Al V Cr
3 6 6
Direct
0.000 0.000 0.000
0.333 0.667 0.667
0.667 0.333 0.333
0.000 0.000 0.211
0.000 0.000 0.789
0.333 0.667 0.456
0.333 0.667 0.877
0.667 0.333 0.123
0.667 0.333 0.544
0.000 0.000 0.412
0.000 0.000 0.588
0.333 0.667 0.078
0.333 0.667 0.255
0.667 0.333 0.745
0.667 0.333 0.922
```

[11]
CrHgMo2: optimized geometry, PBE.

Output
Formation energy from the elements   0.40 eV per atom

Geometry as POSCAR:
```
CrHgMo2
1.0
3.176 0.000 0.000
0.000 4.495 0.000
0.000 0.000 9.052
Cr Hg Mo
2 2 4
Direct
0.000 0.000 0.000
0.500 0.500 0.000
0.000 0.000 0.500
0.500 0.500 0.500
0.000 0.500 0.218
0.000 0.500 0.782
0.500 0.000 0.218
0.500 0.000 0.782
```

[12]
YPd3Ru: optimized geometry, PBE.

Output
Formation energy from the elements   0.45 eV per atom
Distance to the lowest polymorph of the same formula   0.0000 eV/atom

Geometry as POSCAR:
```
YPd3Ru
1.0
4.814 0.000 0.000
0.000 4.814 0.000
0.000 0.000 4.814
Y Pd Ru
1 3 1
Direct
0.000 0.000 0.000
0.000 0.500 0.500
0.500 0.000 0.500
0.500 0.500 0.000
0.500 0.500 0.500
```